Here is a relaxed Cs2YF crystal from the Alexandria database. Energies are from PBE.

```
Cs2YF
1.0
2.254 -7.969 -0.277
-7.731 -0.972 -2.820
4.769 5.248 -4.287
Cs Y F
4 2 2
Direct
0.375 0.732 0.857
0.875 0.518 0.143
0.268 0.125 0.643
0.482 0.625 0.357
0.000 0.000 0.000
0.750 0.250 0.500
0.500 0.500 0.000
0.250 0.750 0.500
```

Output
E_form (uncorrected): -0.620 eV/atom
ΔE to the lowest computed polymorph: 0.000 eV per atom
Fermi-level density of states: 7.224 states/eV per cell